## P
The following is a PBE calculation of a relaxed BaLi3Ni crystal, from Alexandria via LeMat-Bulk.

Cell: 5.1083 5.1083 5.1083 Å, 90.00 90.00 90.00°
Positions (direct):
Ni 0.5000 0.5000 0.5000
Ba 0.0000 0.0000 0.0000
Li 0.0000 0.5000 0.0000
Li 0.0000 0.0000 0.5000
Li 0.5000 0.0000 0.0000

Properties
**Symmetry**: No. 221

## Q
The following is a PBE calculation of a relaxed BaLi3Ni crystal, from Alexandria via LeMat-Bulk.

Cell: 4.9800 4.9800 4.9800 Å, 90.00 90.00 90.00°
Positions (direct):
Ni 0.0000 0.0000 0.0000
Ba 0.5000 0.5000 0.5000
Li 0.0000 0.5000 0.0000
Li 0.0000 0.0000 0.5000
Li 0.5000 0.0000 0.0000

Properties
**Symmetry**: No. 221

List of relative energies, unit meV per atom: P 1270; Q 0